[1]
A geometry-optimized ZrPtSeN2 structure. Source: Alexandria via LeMat-Bulk, functional GGA-PBEsol.

Cell lengths 3.9067, 3.9067, 4.9221 Å; angles 90.00, 90.00, 90.00 degrees
Closest atoms and distances in Å follow each position.
Space group P4/mmm (No. 123)
Asymmetric unit:
Zr: 0.0000 0.0000 0.0000 (multiplicity 1)  4 Se 2.76
Pt: 0.5000 0.5000 0.5000 (multiplicity 1)  4 N 1.95
Se: 0.5000 0.5000 0.0000 (multiplicity 1)  2 Pt 2.46
N: 0.0000 0.5000 0.5000 (multiplicity 2)  2 Pt 1.95

Computed properties:
For the energy above the most stable polymorph in this dataset, the calculation gives 0 meV/atom. For the magnetic moment, the calculation gives 0.0 μB per formula unit.

=====

[2]
A geometry-optimized ZrPtSeN2 structure. Source: Alexandria via LeMat-Bulk, functional GGA-PBEsol.

Cell lengths 3.9611, 3.9611, 5.6250 Å; angles 90.00, 90.00, 90.00 degrees
Closest atoms and distances in Å follow each position.
Space group P4/mmm (No. 123)
Asymmetric unit:
Zr: 0.0000 0.0000 0.0000 (multiplicity 1)  4 N 1.98
Pt: 0.5000 0.5000 0.5000 (multiplicity 1)  4 Se 2.80
Se: 0.0000 0.0000 0.5000 (multiplicity 1)  4 Pt 2.80, 2 Zr 2.81
N: 0.0000 0.5000 0.0000 (multiplicity 2)  2 Zr 1.98

Computed properties:
For the energy above the most stable polymorph in this dataset, the calculation gives 27 meV/atom. For the magnetic moment, the calculation gives 0.4 μB per formula unit.

=====

[3]
A geometry-optimized SiPt3N structure. Source: Alexandria via LeMat-Bulk, functional GGA-PBEsol.

Cell lengths 4.1500, 4.1500, 4.1500 Å; angles 90.00, 90.00, 90.00 degrees
Closest atoms and distances in Å follow each position.
Space group Pm-3m (No. 221)
Asymmetric unit:
Si: 0.0000 0.0000 0.0000 (multiplicity 1)  12 Pt 2.93
Pt: 0.0000 0.5000 0.5000 (multiplicity 3)  2 N 2.07
N: 0.5000 0.5000 0.5000 (multiplicity 1)  6 Pt 2.07

Computed properties:
For the energy above the most stable polymorph in this dataset, the calculation gives 0 meV/atom. For the magnetic moment, the calculation gives 0.0 μB per formula unit.

=====

[4]
A geometry-optimized SiSnPtN2 structure. Source: Alexandria via LeMat-Bulk, functional GGA-PBEsol.

Cell lengths 3.8472, 3.8472, 6.2068 Å; angles 90.00, 90.00, 90.00 degrees
Closest atoms and distances in Å follow each position.
Space group P4/mmm (No. 123)
Asymmetric unit:
Si: 0.0000 0.0000 0.0000 (multiplicity 1)  4 Pt 2.72
Sn: 0.0000 0.0000 0.5000 (multiplicity 1)  4 N 1.92
Pt: 0.5000 0.5000 0.0000 (multiplicity 1)  4 Si 2.72
N: 0.0000 0.5000 0.5000 (multiplicity 2)  2 Sn 1.92

Computed properties:
For the magnetic moment, the calculation gives 1.6 μB per formula unit. For the calculated total energy, the calculation gives -5.09 eV/atom.

=====

[5]
A geometry-optimized SnPtN2 structure. Source: Alexandria via LeMat-Bulk, functional GGA-PBEsol.

Cell lengths 5.7164, 5.7164, 5.7164 Å; angles 90.00, 90.00, 90.00 degrees
Closest atoms and distances in Å follow each position.
Space group Fm-3m (No. 225)
Asymmetric unit:
Sn: 0.0000 0.0000 0.0000 (multiplicity 4)  8 N 2.48
Pt: 0.0000 0.0000 0.5000 (multiplicity 4)  8 N 2.48
N: 0.2500 0.2500 0.2500 (multiplicity 8)  4 Sn 2.48, 4 Pt 2.48

Computed properties:
For the magnetic moment, the calculation gives 0.0 μB per formula unit. For the calculated total energy, the calculation gives -5.77 eV/atom.

=====

[6]
A geometry-optimized PtWN2 structure. Source: Alexandria via LeMat-Bulk, functional GGA-PBEsol.

Cell lengths 4.6517, 4.6517, 9.5930 Å; angles 90.00, 90.00, 90.00 degrees
Closest atoms and distances in Å follow each position.
Space group I-42d (No. 122)
Asymmetric unit:
Pt: 0.0000 0.0000 0.0000 (multiplicity 4)  4 N 2.17
W: 0.0000 0.0000 0.5000 (multiplicity 4)  4 N 1.92
N: 0.2020 0.2500 0.6250 (multiplicity 8)  2 W 1.92

Computed properties:
For the magnetic moment, the calculation gives 0.0 μB per formula unit. For the calculated total energy, the calculation gives -9.27 eV/atom.